First-principles (PBE) data for a relaxed Hf2TiNbH crystal, as listed in Alexandria via LeMat-Bulk.

Structure (POSCAR):
```
Hf2TiNbH
1.0
4.6264 0.0000 0.0000
0.0000 4.6264 0.0000
0.0000 0.0000 3.8364
Nb Ti Hf H
1 1 2 1
direct
0.0000 0.0000 0.5000
0.5000 0.5000 0.5000
0.0000 0.5000 0.0000
0.5000 0.0000 0.0000
0.0000 0.0000 0.0000
```

Summary:
As for the relative energy among the computed polymorphs: 20 meV per atom. For the density of states at the Fermi level, the calculation gives 1.530 states/eV/atom. Its space-group type is P4/mmm, No. 123.